Record 1
# Sr3U2N6

Sr3U2N6 after structural relaxation (PBE-GGA, the Alexandria database).

As for the raw total energy: -178.50 eV for the cell shown. The uncorrected formation energy comes out at -1127 kJ/mol of formula units.

It has space group I4/mmm (No. 139), with a = 4.2970 Å, b = 4.2970 Å, c = 20.9988 Å, α = 90.00°, β = 90.00° and γ = 90.00°. The inequivalent atoms are Sr at (0.0000, 0.0000, 0.0000), Sr at (0.0000, 0.0000, 0.1870), U at (0.0000, 0.0000, 0.4039), N at (0.0000, 0.0000, 0.3077) and N at (0.0000, 0.5000, 0.0864).



Record 2
# AcPm4Y5

AcPm4Y5 after structural relaxation (PBE-GGA, the Alexandria database).

Its relative energy among the computed polymorphs is 184 meV per atom. As for the raw total energy: -53.31 eV for the cell shown. The calculation puts the formation energy at 212 meV per atom.

It has space group P-1 (No. 2), with a = 3.6271 Å, b = 8.9302 Å, c = 11.3021 Å, α = 90.59°, β = 90.00° and γ = 101.71°. The inequivalent atoms are Ac at (0.0000, 0.0000, 0.0000), Pm at (0.1499, 0.3042, 0.2504), Pm at (0.4704, 0.9431, 0.2566), Y at (0.0000, 0.0000, 0.5000), Y at (0.3231, 0.6444, 0.0618) and Y at (0.3268, 0.6519, 0.4486).



Record 3
# SrYI2O

SrYI2O after structural relaxation (PBE-GGA, the Alexandria database).

Its relative energy among the computed polymorphs is 788 meV per atom. As for the raw total energy: -20.57 eV for the cell shown. The uncorrected formation energy comes out at -421 kJ/mol of formula units.

It has space group P4/mmm (No. 123), with a = 6.3233 Å, b = 6.3233 Å, c = 4.3238 Å, α = 90.00°, β = 90.00° and γ = 90.00°. The inequivalent atoms are Sr at (0.0000, 0.0000, 0.0000), Y at (0.5000, 0.5000, 0.5000), I at (0.0000, 0.5000, 0.0000) and O at (0.0000, 0.0000, 0.5000).



Record 4
# NdScAu

NdScAu after structural relaxation (PBE-GGA, the Alexandria database).

Its relative energy among the computed polymorphs is 27 meV per atom. As for the raw total energy: -96.61 eV for the cell shown. The calculation puts the formation energy at -575 meV per atom.

It has space group Amm2 (No. 38), with a = 4.8926 Å, b = 12.7707 Å, c = 7.3625 Å, α = 90.00°, β = 90.00° and γ = 90.00°. The inequivalent atoms are Nd at (0.0000, 0.0000, 0.0000), Nd at (0.0000, 0.2037, 0.3883), Sc at (0.5000, 0.0000, 0.3369), Sc at (0.5000, 0.1276, 0.7199), Au at (0.0000, 0.0000, 0.5924) and Au at (0.5000, 0.1667, 0.0923).



Record 5
# DyZn8Cu2

DyZn8Cu2 after structural relaxation (PBE-GGA, the Alexandria database).

As for the raw total energy: -20.62 eV for the cell shown. The calculation puts the formation energy at 215 meV per atom.

It has space group P4/mmm (No. 123), with a = 5.2290 Å, b = 5.2290 Å, c = 8.3317 Å, α = 90.00°, β = 90.00° and γ = 90.00°. The inequivalent atoms are Dy at (0.0000, 0.0000, 0.0000), Zn at (0.2523, 0.2523, 0.2899) and Cu at (0.0000, 0.5000, 0.5000).



Record 6
# Si2AsRh

Si2AsRh after structural relaxation (PBE-GGA, the Alexandria database).

Its relative energy among the computed polymorphs is 126 meV per atom. As for the raw total energy: -92.77 eV for the cell shown. The uncorrected formation energy comes out at -33 kJ/mol of formula units.

It has space group I-42d (No. 122), with a = 5.5983 Å, b = 5.5983 Å, c = 10.4058 Å, α = 90.00°, β = 90.00° and γ = 90.00°. The inequivalent atoms are Si at (0.2294, 0.2500, 0.1250), As at (0.0000, 0.0000, 0.5000) and Rh at (0.0000, 0.0000, 0.0000).



Record 7
# Al6CoRh5

Al6CoRh5 after structural relaxation (PBE-GGA, the Alexandria database).

As for the raw total energy: -156.74 eV for the cell shown. The calculation puts the formation energy at -1004 meV per atom.

It has space group Immm (No. 71), with a = 4.2151 Å, b = 5.9582 Å, c = 12.6521 Å, α = 90.00°, β = 90.00° and γ = 90.00°. The inequivalent atoms are Al at (0.0000, 0.2429, 0.0000), Al at (0.0000, 0.2539, 0.3363), Co at (0.0000, 0.5000, 0.5000), Rh at (0.0000, 0.0000, 0.1665), Rh at (0.0000, 0.0000, 0.5000) and Rh at (0.0000, 0.5000, 0.1665).



Record 8
# MgCdRh2

MgCdRh2 after structural relaxation (PBE-GGA, the Alexandria database).

As for the raw total energy: -53.58 eV for the cell shown. The calculation puts the formation energy at -162 meV per atom.

It has space group R3m (No. 160, hexagonal axes), with a = 2.9231 Å, b = 2.9231 Å, c = 26.2616 Å, α = 90.00°, β = 90.00° and γ = 120.00°. The inequivalent atoms are Mg at (0.0000, 0.0000, 0.0000), Cd at (0.0000, 0.0000, 0.1666), Rh at (0.0000, 0.0000, 0.4132) and Rh at (0.0000, 0.0000, 0.5866).



Record 9
# Th3TlSe6

Th3TlSe6 after structural relaxation (PBE-GGA, the Alexandria database).

As for the raw total energy: -120.95 eV for the cell shown. The uncorrected formation energy comes out at -1442 kJ/mol of formula units.

It has space group P2_1/m (No. 11), with a = 12.0074 Å, b = 4.3593 Å, c = 12.5138 Å, α = 90.00°, β = 108.84° and γ = 90.00°. The inequivalent atoms are Th at (0.0020, 0.2500, 0.3317), Th at (0.1881, 0.2500, 0.0088), Th at (0.3340, 0.7500, 0.4310), Tl at (0.4066, 0.7500, 0.8132), Se at (0.0234, 0.7500, 0.9084), Se at (0.1239, 0.7500, 0.4962), Se at (0.1748, 0.2500, 0.7658), Se at (0.2454, 0.2500, 0.2732), Se at (0.3563, 0.7500, 0.0530) and Se at (0.4312, 0.2500, 0.5942).



Record 10
# MnPdS2

MnPdS2 after structural relaxation (PBE-GGA, the Alexandria database).

As for the raw total energy: -70.40 eV for the cell shown. The uncorrected formation energy comes out at -82 kJ/mol of formula units.

It has space group R3m (No. 160, hexagonal axes), with a = 3.1029 Å, b = 3.1029 Å, c = 21.0156 Å, α = 90.00°, β = 90.00° and γ = 120.00°. The inequivalent atoms are Mn at (0.0000, 0.0000, 0.0000), Pd at (0.0000, 0.0000, 0.1571), S at (0.0000, 0.0000, 0.5990) and S at (0.0000, 0.0000, 0.7366).



Record 11
# LaTa2Os

LaTa2Os after structural relaxation (PBE-GGA, the Alexandria database).

Its relative energy among the computed polymorphs is 183 meV per atom. As for the raw total energy: -77.55 eV for the cell shown. The calculation puts the formation energy at 272 meV per atom.

It has space group Cmm2 (No. 35), with a = 3.2487 Å, b = 4.9365 Å, c = 9.8416 Å, α = 90.00°, β = 90.00° and γ = 90.00°. The inequivalent atoms are La at (0.0000, 0.0000, 0.0000), Ta at (0.0000, 0.0000, 0.5330), Ta at (0.0000, 0.5000, 0.3011) and Os at (0.0000, 0.5000, 0.7416).



Record 12
# Ba3Cd5I12

Ba3Cd5I12 after structural relaxation (PBE-GGA, the Alexandria database).

As for the raw total energy: -377.48 eV for the cell shown. The uncorrected formation energy comes out at -1760 kJ/mol of formula units.

It has space group Ia-3d (No. 230), with a = 19.6496 Å, b = 19.6496 Å, c = 19.6496 Å, α = 90.00°, β = 90.00° and γ = 90.00°. The inequivalent atoms are Ba at (0.0000, 0.2500, 0.1250), Cd at (0.0000, 0.0000, 0.0000), Cd at (0.0000, 0.2500, 0.3750) and I at (0.0296, 0.0658, 0.6616).